Entry 1:
Below is crystalline MgV2I at its relaxed geometry, with properties calculated at the GGA-PBE level.

## Properties
Magnetic moment: 4.34 μB/cell
Polymorph energy (0 for the lowest one): 16 meV per atom
Energy relative to the elements, uncorrected: 0.8381 eV/atom

Structure (POSCAR):
```
MgV2I
1.0
0.0000 3.3179 3.3179
3.3179 0.0000 3.3179
3.3179 3.3179 0.0000
Mg V I
1 2 1
Direct
0.0000 0.0000 0.0000 Mg
0.2500 0.2500 0.2500 V
0.7500 0.7500 0.7500 V
0.5000 0.5000 0.5000 I
```

=====

Entry 2:
Below is crystalline MgV3I at its relaxed geometry, with properties calculated at the GGA-PBE level.

## Properties
Magnetic moment: 5.90 μB/cell
Polymorph energy (0 for the lowest one): 0 meV per atom
Energy relative to the elements, uncorrected: 1.4018 eV/atom

Structure (POSCAR):
```
MgV3I
1.0
4.8901 0.0000 0.0000
0.0000 4.8901 0.0000
0.0000 0.0000 4.8901
Mg V I
1 3 1
Direct
0.0000 0.0000 0.0000 Mg
0.0000 0.5000 0.5000 V
0.5000 0.0000 0.5000 V
0.5000 0.5000 0.0000 V
0.5000 0.5000 0.5000 I
```

=====

Entry 3:
Below is crystalline Mg3VI8 at its relaxed geometry, with properties calculated at the GGA-PBE level.

## Properties
Magnetic moment: 3.00 μB/cell
Energy relative to the elements, uncorrected: -0.8957 eV/atom

Structure (POSCAR):
```
Mg3VI8
1.0
7.2351 -4.1759 0.0000
7.2351 4.1759 0.0000
-4.9699 0.0000 7.7523
Mg V I
3 1 8
Direct
0.0000 0.0000 0.0000 Mg
0.0000 0.5000 0.0000 Mg
0.5000 0.0000 0.0000 Mg
0.5000 0.5000 0.0000 V
0.2413 0.2413 0.2176 I
0.2477 0.7349 0.2111 I
0.2650 0.2650 0.7889 I
0.2651 0.7523 0.7889 I
0.7349 0.2477 0.2111 I
0.7350 0.7350 0.2111 I
0.7523 0.2651 0.7889 I
0.7587 0.7587 0.7824 I
```

=====

Entry 4:
Below is crystalline MgVI4 at its relaxed geometry, with properties calculated at the GGA-PBE level.

## Properties
Magnetic moment: 3.00 μB/cell
Energy relative to the elements, uncorrected: -0.7475 eV/atom

Structure (POSCAR):
```
MgVI4
1.0
7.1741 0.0000 0.0000
0.0000 4.1602 0.0000
-0.1157 0.0000 7.6126
Mg V I
1 1 4
Direct
0.0000 0.0000 0.0000 Mg
0.5000 0.5000 0.0000 V
0.1782 0.5000 0.2167 I
0.3385 0.0000 0.7902 I
0.6615 0.0000 0.2098 I
0.8218 0.5000 0.7833 I
```

=====

Entry 5:
Below is crystalline MgVI2 at its relaxed geometry, with properties calculated at the GGA-PBE level.

## Properties
Magnetic moment: 3.73 μB/cell
Polymorph energy (0 for the lowest one): 248 meV per atom
Energy relative to the elements, uncorrected: 0.2678 eV/atom

Structure (POSCAR):
```
MgVI2
1.0
0.0000 3.7429 3.7429
3.7429 0.0000 3.7429
3.7429 3.7429 0.0000
Mg V I
1 1 2
Direct
0.0000 0.0000 0.0000 Mg
0.5000 0.5000 0.5000 V
0.2500 0.2500 0.2500 I
0.7500 0.7500 0.7500 I
```

=====

Entry 6:
Below is crystalline MgV2I6 at its relaxed geometry, with properties calculated at the GGA-PBE level.

## Properties
Magnetic moment: 6.00 μB/cell
Energy relative to the elements, uncorrected: -0.6497 eV/atom

Structure (POSCAR):
```
MgV2I6
1.0
9.6035 -2.0717 0.0000
9.6035 2.0717 0.0000
-2.9760 0.0000 8.4452
Mg V I
1 2 6
Direct
0.0000 0.0000 0.0000 Mg
0.3331 0.3331 0.6670 V
0.6669 0.6669 0.3330 V
0.1620 0.1620 0.1105 I
0.1763 0.1763 0.5573 I
0.4905 0.4905 0.7620 I
0.5095 0.5095 0.2380 I
0.8237 0.8237 0.4427 I
0.8380 0.8380 0.8895 I
```

=====

Entry 7:
Below is crystalline Mg2V2I at its relaxed geometry, with properties calculated at the GGA-PBE level.

## Properties
Magnetic moment: 0.00 μB/cell
Polymorph energy (0 for the lowest one): 0 meV per atom
Energy relative to the elements, uncorrected: 0.4343 eV/atom

Structure (POSCAR):
```
Mg2V2I
1.0
7.7280 0.0000 0.0000
0.0000 7.7280 0.0000
0.0000 0.0000 3.5657
Mg V I
4 4 2
Direct
0.1979 0.3021 0.0000 Mg
0.3021 0.8021 0.0000 Mg
0.6979 0.1979 0.0000 Mg
0.8021 0.6979 0.0000 Mg
0.0868 0.5868 0.5000 V
0.4132 0.0868 0.5000 V
0.5868 0.9132 0.5000 V
0.9132 0.4132 0.5000 V
0.0000 0.0000 0.5000 I
0.5000 0.5000 0.5000 I
```

=====

Entry 8:
Below is crystalline MgWI2 at its relaxed geometry, with properties calculated at the GGA-PBE level.

## Properties
Magnetic moment: 0.00 μB/cell
Polymorph energy (0 for the lowest one): 303 meV per atom
Energy relative to the elements, uncorrected: 0.9446 eV/atom

Structure (POSCAR):
```
MgWI2
1.0
0.0000 3.5207 3.5207
3.5207 0.0000 3.5207
3.5207 3.5207 0.0000
Mg W I
1 1 2
Direct
0.0000 0.0000 0.0000 Mg
0.5000 0.5000 0.5000 W
0.2500 0.2500 0.2500 I
0.7500 0.7500 0.7500 I
```

=====

Entry 9:
Below is crystalline MgWI2 at its relaxed geometry, with properties calculated at the GGA-PBE level.

## Properties
Magnetic moment: 0.00 μB/cell
Polymorph energy (0 for the lowest one): 0 meV per atom
Energy relative to the elements, uncorrected: 0.6418 eV/atom

Structure (POSCAR):
```
MgWI2
1.0
-4.7697 4.7697 2.7803
4.7697 -4.7697 2.7803
4.7697 4.7697 -2.7803
Mg W I
2 2 4
Direct
0.0000 0.0000 0.0000 Mg
0.7500 0.2500 0.5000 Mg
0.2500 0.7500 0.5000 W
0.5000 0.5000 0.0000 W
0.2695 0.6250 0.1445 I
0.3750 0.5195 0.6445 I
0.4805 0.1250 0.8555 I
0.8750 0.7305 0.3555 I
```

=====

Entry 10:
Below is crystalline MgZrWI2 at its relaxed geometry, with properties calculated at the GGA-PBE level.

## Properties
Magnetic moment: 0.46 μB/cell
Energy relative to the elements, uncorrected: 0.9601 eV/atom

Structure (POSCAR):
```
MgZrWI2
1.0
5.5211 0.0000 0.0000
0.0000 5.5211 0.0000
0.0000 0.0000 5.1917
Mg Zr W I
1 1 1 2
Direct
0.0000 0.0000 0.0000 Mg
0.5000 0.5000 0.0000 Zr
0.5000 0.5000 0.5000 W
0.0000 0.5000 0.5000 I
0.5000 0.0000 0.5000 I
```

=====

Entry 11:
Below is crystalline Y2MgI at its relaxed geometry, with properties calculated at the GGA-PBE level.

## Properties
Magnetic moment: 0.00 μB/cell
Polymorph energy (0 for the lowest one): 130 meV per atom
Energy relative to the elements, uncorrected: -0.0124 eV/atom

Structure (POSCAR):
```
Y2MgI
1.0
1.8082 1.0440 11.5745
-1.8082 1.0440 11.5745
0.0000 -2.0879 11.5745
Y Mg I
2 1 1
Direct
0.0947 0.0947 0.0947 Y
0.9053 0.9053 0.9053 Y
0.0000 0.0000 0.0000 Mg
0.5000 0.5000 0.5000 I
```

=====

Entry 12:
Below is crystalline YMgI3 at its relaxed geometry, with properties calculated at the GGA-PBE level.

## Properties
Magnetic moment: 0.00 μB/cell
Polymorph energy (0 for the lowest one): 0 meV per atom
Energy relative to the elements, uncorrected: -0.7357 eV/atom

Structure (POSCAR):
```
YMgI3
1.0
6.0508 0.0000 0.0000
0.0000 6.0508 0.0000
0.0000 0.0000 6.0508
Y Mg I
1 1 3
Direct
0.0000 0.0000 0.0000 Y
0.5000 0.5000 0.5000 Mg
0.0000 0.0000 0.5000 I
0.0000 0.5000 0.0000 I
0.5000 0.0000 0.0000 I
```

=====

Entry 13:
Below is crystalline YMgI2 at its relaxed geometry, with properties calculated at the GGA-PBE level.

## Properties
Magnetic moment: 0.98 μB/cell
Polymorph energy (0 for the lowest one): 70 meV per atom
Energy relative to the elements, uncorrected: -0.4227 eV/atom

Structure (POSCAR):
```
YMgI2
1.0
0.0000 3.8860 3.8860
3.8860 0.0000 3.8860
3.8860 3.8860 0.0000
Y Mg I
1 1 2
Direct
0.0000 0.0000 0.0000 Y
0.5000 0.5000 0.5000 Mg
0.2500 0.2500 0.2500 I
0.7500 0.7500 0.7500 I
```

=====

Entry 14:
Below is crystalline YMg3I at its relaxed geometry, with properties calculated at the GGA-PBE level.

## Properties
Magnetic moment: 0.55 μB/cell
Polymorph energy (0 for the lowest one): 0 meV per atom
Energy relative to the elements, uncorrected: 0.5809 eV/atom

Structure (POSCAR):
```
YMg3I
1.0
5.5801 0.0000 0.0000
0.0000 5.5801 0.0000
0.0000 0.0000 5.5801
Y Mg I
1 3 1
Direct
0.0000 0.0000 0.0000 Y
0.0000 0.5000 0.5000 Mg
0.5000 0.0000 0.5000 Mg
0.5000 0.5000 0.0000 Mg
0.5000 0.5000 0.5000 I
```

=====

Entry 15:
Below is crystalline Y2MgI at its relaxed geometry, with properties calculated at the GGA-PBE level.

## Properties
Magnetic moment: 0.00 μB/cell
Polymorph energy (0 for the lowest one): 243 meV per atom
Energy relative to the elements, uncorrected: 0.1007 eV/atom

Structure (POSCAR):
```
Y2MgI
1.0
-2.3924 2.3924 11.4189
2.3924 -2.3924 11.4189
2.3924 2.3924 -11.4189
Y Mg I
4 2 2
Direct
0.1208 0.6250 0.9958 Y
0.3750 0.3708 0.4958 Y
0.6292 0.1250 0.0042 Y
0.8750 0.8792 0.5042 Y
0.2500 0.7500 0.5000 Mg
0.5000 0.5000 0.0000 Mg
0.0000 0.0000 0.0000 I
0.7500 0.2500 0.5000 I
```

=====

Entry 16:
Below is crystalline YMgI3 at its relaxed geometry, with properties calculated at the GGA-PBE level.

## Properties
Magnetic moment: 1.38 μB/cell
Polymorph energy (0 for the lowest one): 382 meV per atom
Energy relative to the elements, uncorrected: -0.3534 eV/atom

Structure (POSCAR):
```
YMgI3
1.0
5.6456 0.0000 0.0000
0.0000 5.6456 0.0000
0.0000 0.0000 5.6456
Y Mg I
1 1 3
Direct
0.0000 0.0000 0.0000 Y
0.5000 0.5000 0.5000 Mg
0.0000 0.5000 0.5000 I
0.5000 0.0000 0.5000 I
0.5000 0.5000 0.0000 I
```

=====

Entry 17:
Below is crystalline YMgI2 at its relaxed geometry, with properties calculated at the GGA-PBE level.

## Properties
Magnetic moment: 0.00 μB/cell
Polymorph energy (0 for the lowest one): 0 meV per atom
Energy relative to the elements, uncorrected: -0.4922 eV/atom

Structure (POSCAR):
```
YMgI2
1.0
-5.3136 5.3136 3.2976
5.3136 -5.3136 3.2976
5.3136 5.3136 -3.2976
Y Mg I
2 2 4
Direct
0.0000 0.0000 0.0000 Y
0.7500 0.2500 0.5000 Y
0.2500 0.7500 0.5000 Mg
0.5000 0.5000 0.0000 Mg
0.3750 0.2428 0.3678 I
0.7572 0.1250 0.1322 I
0.8750 0.0072 0.6322 I
0.9928 0.6250 0.8678 I
```

=====

Entry 18:
Below is crystalline Y2MgI at its relaxed geometry, with properties calculated at the GGA-PBE level.

## Properties
Magnetic moment: 0.00 μB/cell
Polymorph energy (0 for the lowest one): 0 meV per atom
Energy relative to the elements, uncorrected: -0.1425 eV/atom

Structure (POSCAR):
```
Y2MgI
1.0
0.0000 3.8601 3.8601
3.8601 0.0000 3.8601
3.8601 3.8601 0.0000
Y Mg I
2 1 1
Direct
0.2500 0.2500 0.2500 Y
0.7500 0.7500 0.7500 Y
0.0000 0.0000 0.0000 Mg
0.5000 0.5000 0.5000 I
```

=====

Entry 19:
Below is crystalline YMg3I at its relaxed geometry, with properties calculated at the GGA-PBE level.

## Properties
Magnetic moment: 0.00 μB/cell
Polymorph energy (0 for the lowest one): 135 meV per atom
Energy relative to the elements, uncorrected: 0.7161 eV/atom

Structure (POSCAR):
```
YMg3I
1.0
6.2871 0.0000 0.0000
0.0000 6.2871 0.0000
0.0000 0.0000 6.2871
Y Mg I
1 3 1
Direct
0.0000 0.0000 0.0000 Y
0.0000 0.0000 0.5000 Mg
0.0000 0.5000 0.0000 Mg
0.5000 0.0000 0.0000 Mg
0.5000 0.5000 0.5000 I
```

=====

Entry 20:
Below is crystalline Mg2ZnI6 at its relaxed geometry, with properties calculated at the GGA-PBE level.

## Properties
Magnetic moment: 0.00 μB/cell
Energy relative to the elements, uncorrected: -0.8565 eV/atom

Structure (POSCAR):
```
Mg2ZnI6
1.0
7.9202 -7.9785 0.0000
7.9202 7.9785 0.0000
-3.2985 0.0000 6.7319
Mg Zn I
4 2 12
Direct
0.1499 0.3105 0.4000 Mg
0.3105 0.1499 0.9000 Mg
0.6895 0.8501 0.1000 Mg
0.8501 0.6895 0.6000 Mg
0.2779 0.7221 0.7500 Zn
0.7221 0.2779 0.2500 Zn
0.0855 0.7071 0.8769 I
0.1234 0.2828 0.7383 I
0.2805 0.5309 0.4361 I
0.2828 0.1234 0.2383 I
0.2929 0.9145 0.6231 I
0.4691 0.7195 0.0639 I
0.5309 0.2805 0.9361 I
0.7071 0.0855 0.3769 I
0.7172 0.8766 0.7617 I
0.7195 0.4691 0.5639 I
0.8766 0.7172 0.2617 I
0.9145 0.2929 0.1231 I
```

=====

Entry 21:
Below is crystalline MgZn2I8 at its relaxed geometry, with properties calculated at the GGA-PBE level.

## Properties
Magnetic moment: 0.00 μB/cell
Energy relative to the elements, uncorrected: -0.5404 eV/atom

Structure (POSCAR):
```
MgZn2I8
1.0
5.9235 -6.4398 0.0000
5.9235 6.4398 0.0000
-1.3738 0.0000 6.5967
Mg Zn I
1 2 8
Direct
0.0000 0.0000 0.0000 Mg
0.2131 0.2131 0.4571 Zn
0.7869 0.7869 0.5429 Zn
0.0557 0.7345 0.7223 I
0.2390 0.2390 0.8519 I
0.2655 0.9443 0.2777 I
0.4216 0.4216 0.3099 I
0.5784 0.5784 0.6901 I
0.7345 0.0557 0.7223 I
0.7610 0.7610 0.1481 I
0.9443 0.2655 0.2777 I
```

=====

Entry 22:
Below is crystalline MgZnI3 at its relaxed geometry, with properties calculated at the GGA-PBE level.

## Properties
Magnetic moment: 0.88 μB/cell
Polymorph energy (0 for the lowest one): 0 meV per atom
Energy relative to the elements, uncorrected: -0.2652 eV/atom

Structure (POSCAR):
```
MgZnI3
1.0
5.7538 0.0000 0.0000
0.0000 5.7538 0.0000
0.0000 0.0000 5.7538
Mg Zn I
1 1 3
Direct
0.0000 0.0000 0.0000 Mg
0.5000 0.5000 0.5000 Zn
0.0000 0.0000 0.5000 I
0.0000 0.5000 0.0000 I
0.5000 0.0000 0.0000 I
```

=====

Entry 23:
Below is crystalline Mg5ZnI12 at its relaxed geometry, with properties calculated at the GGA-PBE level.

## Properties
Magnetic moment: 0.00 μB/cell
Energy relative to the elements, uncorrected: -0.9450 eV/atom

Structure (POSCAR):
```
Mg5ZnI12
1.0
3.6209 -6.2759 0.0000
3.6209 6.2759 0.0000
-0.0038 0.0000 15.5875
Mg Zn I
5 1 12
Direct
0.0000 0.0000 0.0000 Mg
0.1669 0.8331 0.5000 Mg
0.3332 0.6668 0.0000 Mg
0.6668 0.3332 0.0000 Mg
0.8331 0.1669 0.5000 Mg
0.5000 0.5000 0.5000 Zn
0.9999 0.3333 0.8920 I
0.0001 0.6667 0.1080 I
0.1723 0.4999 0.3936 I
0.1728 0.1728 0.6062 I
0.3333 0.9999 0.8920 I
0.3333 0.3333 0.1078 I
0.4999 0.1723 0.3936 I
0.5001 0.8277 0.6064 I
0.6667 0.0001 0.1080 I
0.6667 0.6667 0.8922 I
0.8272 0.8272 0.3938 I
0.8277 0.5001 0.6064 I
```

=====

Entry 24:
Below is crystalline MgZn5I12 at its relaxed geometry, with properties calculated at the GGA-PBE level.

## Properties
Magnetic moment: 0.00 μB/cell
Energy relative to the elements, uncorrected: -0.5543 eV/atom

Structure (POSCAR):
```
MgZn5I12
1.0
3.5599 -6.1699 0.0000
3.5599 6.1699 0.0000
-0.0069 0.0000 15.2219
Mg Zn I
1 5 12
Direct
0.0000 0.0000 0.0000 Mg
0.1666 0.8334 0.5000 Zn
0.3334 0.6666 0.0000 Zn
0.5000 0.5000 0.5000 Zn
0.6666 0.3334 0.0000 Zn
0.8334 0.1666 0.5000 Zn
0.0001 0.3394 0.1085 I
0.9999 0.6606 0.8915 I
0.1663 0.1663 0.3931 I
0.1670 0.5002 0.6068 I
0.3394 0.0001 0.1085 I
0.3394 0.3394 0.8914 I
0.5002 0.1670 0.6068 I
0.4998 0.8330 0.3932 I
0.6606 0.9999 0.8915 I
0.6606 0.6606 0.1086 I
0.8330 0.4998 0.3932 I
0.8337 0.8337 0.6069 I
```

=====

Entry 25:
Below is crystalline MgZnI3 at its relaxed geometry, with properties calculated at the GGA-PBE level.

## Properties
Magnetic moment: 0.00 μB/cell
Polymorph energy (0 for the lowest one): 88 meV per atom
Energy relative to the elements, uncorrected: -0.1776 eV/atom

Structure (POSCAR):
```
MgZnI3
1.0
5.5893 0.0000 0.0000
0.0000 5.5893 0.0000
0.0000 0.0000 5.5893
Mg Zn I
1 1 3
Direct
0.0000 0.0000 0.0000 Mg
0.5000 0.5000 0.5000 Zn
0.0000 0.5000 0.5000 I
0.5000 0.0000 0.5000 I
0.5000 0.5000 0.0000 I
```